Here is Ag2Hg2P at its PBEsol-relaxed geometry from the Alexandria database. Energies are from SCAN.

a b c (Å): 7.607 7.607 7.607
angles (deg): 151.51 151.51 40.73
Positions (direct):
Ag1 0.250 0.750 0.500
Ag2 0.750 0.250 0.500
Hg1 0.098 0.098 0.000
Hg2 0.902 0.902 0.000
P1 0.500 0.500 0.000

Values from the calculation:
- SG = I4/mmm
- calculated formation energy (eV per atom) = 0.404
- Fermi-level density of states (states/eV/atom) = 0.450
- E (eV per atom) = -41.489